1.
## LaSc2Os (meta-GGA SCAN)

Data for a PBEsol-optimized structure of LaSc2Os.

distance to the lowest polymorph of the same formula = 0.197 eV/atom
ΔE_f = -0.166 eV per atom
raw total energy = -36.031 eV per atom
calculated volume = 22.1 Å³/atom

Structure (POSCAR):
```
LaSc2Os
1.0
-1.695 2.447 5.331
1.695 -2.447 5.331
1.695 2.447 -5.331
La Sc Os
1 2 1
Direct
0.000 0.000 0.000
0.403 0.403 0.000
0.709 0.209 0.500
0.217 0.717 0.500
```

=====

2.
## LaSc2Os (meta-GGA SCAN)

Data for a PBEsol-optimized structure of LaSc2Os.

distance to the lowest polymorph of the same formula = 0.000 eV/atom
ΔE_f = -0.363 eV per atom
raw total energy = -36.228 eV per atom
calculated volume = 22.6 Å³/atom

Structure (POSCAR):
```
LaSc2Os
1.0
3.228 0.000 0.000
0.000 3.228 0.000
0.000 0.000 8.681
La Sc Os
1 2 1
Direct
0.000 0.000 0.000
0.500 0.500 0.326
0.500 0.500 0.674
0.000 0.000 0.500
```

=====

3.
## LaScTi2Os (meta-GGA SCAN)

Data for a PBEsol-optimized structure of LaScTi2Os.

ΔE_f = 1.575 eV per atom
raw total energy = -30.681 eV per atom
calculated volume = 20.6 Å³/atom

Structure (POSCAR):
```
LaScTi2Os
1.0
4.410 0.000 0.000
0.000 4.410 0.000
0.000 0.000 5.286
La Sc Ti Os
1 1 2 1
Direct
0.000 0.000 0.000
0.000 0.000 0.500
0.000 0.500 0.500
0.500 0.000 0.500
0.500 0.500 0.000
```

=====

4.
## LaOs2Se (meta-GGA SCAN)

Data for a PBEsol-optimized structure of LaOs2Se.

raw total energy = -51.266 eV per atom
calculated volume = 19.1 Å³/atom
uncorrected formation energy = 0.47 eV/atom

Structure (POSCAR):
```
LaOs2Se
1.0
-1.937 1.937 5.090
1.937 -1.937 5.090
1.937 1.937 -5.090
La Os Se
1 2 1
Direct
0.000 0.000 0.000
0.250 0.750 0.500
0.750 0.250 0.500
0.500 0.500 0.000
```

=====

5.
## LaOsSe (meta-GGA SCAN)

Data for a PBEsol-optimized structure of LaOsSe.

distance to the lowest polymorph of the same formula = 0.000 eV/atom
raw total energy = -44.811 eV per atom
calculated volume = 22.6 Å³/atom
uncorrected formation energy = 0.21 eV/atom

Structure (POSCAR):
```
LaOsSe
1.0
0.000 3.238 3.238
3.238 0.000 3.238
3.238 3.238 0.000
La Os Se
1 1 1
Direct
0.000 0.000 0.000
0.500 0.500 0.500
0.750 0.750 0.750
```

=====

6.
## LaOs2Se (meta-GGA SCAN)

Data for a PBEsol-optimized structure of LaOs2Se.

raw total energy = -51.270 eV per atom
calculated volume = 18.5 Å³/atom
uncorrected formation energy = 0.47 eV/atom

Structure (POSCAR):
```
LaOs2Se
1.0
3.955 0.000 0.000
0.000 3.955 0.000
0.000 0.000 4.741
La Os Se
1 2 1
Direct
0.000 0.000 0.000
0.000 0.500 0.500
0.500 0.000 0.500
0.500 0.500 0.000
```

=====

7.
## LaOs2Se (meta-GGA SCAN)

Data for a PBEsol-optimized structure of LaOs2Se.

raw total energy = -50.902 eV per atom
calculated volume = 17.5 Å³/atom
uncorrected formation energy = 0.83 eV/atom

Structure (POSCAR):
```
LaOs2Se
1.0
1.483 0.856 9.186
-1.483 0.856 9.186
0.000 -1.712 9.186
La Os Se
1 2 1
Direct
0.000 0.000 0.000
0.236 0.236 0.236
0.764 0.764 0.764
0.500 0.500 0.500
```

=====

8.
## LaOsSe (meta-GGA SCAN)

Data for a PBEsol-optimized structure of LaOsSe.

distance to the lowest polymorph of the same formula = 0.389 eV/atom
raw total energy = -44.422 eV per atom
calculated volume = 25.5 Å³/atom
uncorrected formation energy = 0.60 eV/atom

Structure (POSCAR):
```
LaOsSe
1.0
0.000 3.368 3.368
3.368 0.000 3.368
3.368 3.368 0.000
La Os Se
1 1 1
Direct
0.000 0.000 0.000
0.750 0.750 0.750
0.250 0.250 0.250
```

=====

9.
## La2OsSe (meta-GGA SCAN)

Data for a PBEsol-optimized structure of La2OsSe.

raw total energy = -45.512 eV per atom
calculated volume = 24.5 Å³/atom
uncorrected formation energy = -0.97 eV/atom

Structure (POSCAR):
```
La2OsSe
1.0
4.757 0.000 0.000
0.000 1.884 5.470
0.000 -1.884 5.470
La Os Se
2 1 1
Direct
0.000 0.000 0.000
0.500 0.269 0.269
0.000 0.757 0.757
0.500 0.541 0.541
```

=====

10.
## La2OsSe (meta-GGA SCAN)

Data for a PBEsol-optimized structure of La2OsSe.

raw total energy = -45.519 eV per atom
calculated volume = 23.5 Å³/atom
uncorrected formation energy = -0.98 eV/atom

Structure (POSCAR):
```
La2OsSe
1.0
3.541 0.000 0.000
0.000 3.541 0.000
0.000 0.000 7.499
La Os Se
2 1 1
Direct
0.000 0.000 0.234
0.000 0.000 0.766
0.500 0.500 0.000
0.500 0.500 0.500
```

=====

11.
## LaOs2Se (meta-GGA SCAN)

Data for a PBEsol-optimized structure of LaOs2Se.

raw total energy = -51.038 eV per atom
calculated volume = 18.3 Å³/atom
uncorrected formation energy = 0.70 eV/atom

Structure (POSCAR):
```
LaOs2Se
1.0
0.000 3.319 3.319
3.319 0.000 3.319
3.319 3.319 0.000
La Os Se
1 2 1
Direct
0.000 0.000 0.000
0.500 0.500 0.500
0.750 0.750 0.750
0.250 0.250 0.250
```

=====

12.
## La2ZrOsSe (meta-GGA SCAN)

Data for a PBEsol-optimized structure of La2ZrOsSe.

raw total energy = -42.159 eV per atom
calculated volume = 30.4 Å³/atom
uncorrected formation energy = -0.39 eV/atom

Structure (POSCAR):
```
La2ZrOsSe
1.0
5.565 0.000 0.000
0.000 5.565 0.000
0.000 0.000 4.913
La Zr Os Se
2 1 1 1
Direct
0.000 0.500 0.000
0.500 0.000 0.000
0.000 0.000 0.500
0.000 0.000 0.000
0.500 0.500 0.500
```

=====

13.
## LaSi3Os (meta-GGA SCAN)

Data for a PBEsol-optimized structure of LaSi3Os.

raw total energy = -29.697 eV per atom
calculated volume = 17.9 Å³/atom
uncorrected formation energy = -0.69 eV/atom

Structure (POSCAR):
```
LaSi3Os
1.0
-2.122 2.122 4.970
2.122 -2.122 4.970
2.122 2.122 -4.970
La Si Os
1 3 1
Direct
0.000 0.000 0.000
0.237 0.737 0.500
0.581 0.581 0.000
0.737 0.237 0.500
0.344 0.344 0.000
```

=====

14.
## LaSiOs (meta-GGA SCAN)

Data for a PBEsol-optimized structure of LaSiOs.

raw total energy = -42.066 eV per atom
calculated volume = 18.5 Å³/atom
uncorrected formation energy = -0.40 eV/atom

Structure (POSCAR):
```
LaSiOs
1.0
-1.570 1.570 5.638
1.570 -1.570 5.638
1.570 1.570 -5.638
La Si Os
1 1 1
Direct
0.000 0.000 0.000
0.292 0.292 0.000
0.697 0.697 0.000
```

=====

15.
## LaSi2Os (meta-GGA SCAN)

Data for a PBEsol-optimized structure of LaSi2Os.

raw total energy = -34.486 eV per atom
calculated volume = 19.0 Å³/atom
uncorrected formation energy = -0.73 eV/atom

Structure (POSCAR):
```
LaSi2Os
1.0
3.576 -2.041 0.000
3.576 2.041 0.000
-2.341 0.000 5.193
La Si Os
1 2 1
Direct
0.000 0.000 0.000
0.208 0.208 0.620
0.792 0.792 0.380
0.500 0.500 0.500
```

=====

16.
## LaSi2Os (meta-GGA SCAN)

Data for a PBEsol-optimized structure of LaSi2Os.

raw total energy = -34.069 eV per atom
calculated volume = 17.0 Å³/atom
uncorrected formation energy = -0.32 eV/atom

Structure (POSCAR):
```
LaSi2Os
1.0
3.056 0.000 0.000
0.000 3.056 0.000
0.000 0.000 7.268
La Si Os
1 2 1
Direct
0.000 0.000 0.000
0.500 0.500 0.308
0.500 0.500 0.692
0.000 0.000 0.500
```

=====

17.
## LaSi3Os (meta-GGA SCAN)

Data for a PBEsol-optimized structure of LaSi3Os.

raw total energy = -26.336 eV per atom
calculated volume = 27.2 Å³/atom
uncorrected formation energy = 2.67 eV/atom

Structure (POSCAR):
```
LaSi3Os
1.0
5.145 0.000 0.000
0.000 5.145 0.000
0.000 0.000 5.145
La Si Os
1 3 1
Direct
0.000 0.000 0.000
0.000 0.000 0.500
0.000 0.500 0.000
0.500 0.000 0.000
0.500 0.500 0.500
```

=====

18.
## LaSi2Os (meta-GGA SCAN)

Data for a PBEsol-optimized structure of LaSi2Os.

raw total energy = -33.858 eV per atom
calculated volume = 19.3 Å³/atom
uncorrected formation energy = -0.10 eV/atom

Structure (POSCAR):
```
LaSi2Os
1.0
-1.508 2.786 4.598
1.508 -2.786 4.598
1.508 2.786 -4.598
La Si Os
1 2 1
Direct
0.000 0.000 0.000
0.295 0.795 0.500
0.705 0.205 0.500
0.500 0.500 0.000
```

=====

19.
## La3SnOs (meta-GGA SCAN)

Data for a PBEsol-optimized structure of La3SnOs.

ΔE_f = -0.497 eV per atom
raw total energy = -47.920 eV per atom
calculated volume = 32.1 Å³/atom

Structure (POSCAR):
```
La3SnOs
1.0
5.435 0.000 0.000
0.000 5.435 0.000
0.000 0.000 5.435
La Sn Os
3 1 1
Direct
0.000 0.000 0.500
0.000 0.500 0.000
0.500 0.000 0.000
0.500 0.500 0.500
0.000 0.000 0.000
```

=====

20.
## Sr2LaOs (meta-GGA SCAN)

Data for a PBEsol-optimized structure of Sr2LaOs.

distance to the lowest polymorph of the same formula = 0.000 eV/atom
ΔE_f = 0.162 eV per atom
raw total energy = -39.722 eV per atom
calculated volume = 33.2 Å³/atom

Structure (POSCAR):
```
Sr2LaOs
1.0
2.536 -2.539 0.000
2.536 2.539 0.000
0.000 0.000 10.298
Sr La Os
2 1 1
Direct
0.000 0.000 0.000
0.500 0.500 0.346
0.000 0.000 0.669
0.500 0.500 0.812
```

=====

21.
## SrLaOs2 (meta-GGA SCAN)

Data for a PBEsol-optimized structure of SrLaOs2.

distance to the lowest polymorph of the same formula = 0.000 eV/atom
ΔE_f = 0.703 eV per atom
raw total energy = -51.582 eV per atom
calculated volume = 21.9 Å³/atom

Structure (POSCAR):
```
SrLaOs2
1.0
3.509 0.000 0.000
0.000 3.509 0.000
0.000 0.000 7.127
Sr La Os
1 1 2
Direct
0.000 0.000 0.000
0.000 0.000 0.500
0.500 0.500 0.286
0.500 0.500 0.714
```

=====

22.
## SrLaOs2 (meta-GGA SCAN)

Data for a PBEsol-optimized structure of SrLaOs2.

distance to the lowest polymorph of the same formula = 0.057 eV/atom
ΔE_f = 0.760 eV per atom
raw total energy = -51.525 eV per atom
calculated volume = 21.5 Å³/atom

Structure (POSCAR):
```
SrLaOs2
1.0
0.000 3.501 3.501
3.501 0.000 3.501
3.501 3.501 0.000
Sr La Os
1 1 2
Direct
0.000 0.000 0.000
0.500 0.500 0.500
0.250 0.250 0.250
0.750 0.750 0.750
```

=====

23.
## SrLaOs (meta-GGA SCAN)

Data for a PBEsol-optimized structure of SrLaOs.

ΔE_f = 0.129 eV per atom
raw total energy = -45.624 eV per atom
calculated volume = 29.3 Å³/atom

Structure (POSCAR):
```
SrLaOs
1.0
-1.752 1.752 7.162
1.752 -1.752 7.162
1.752 1.752 -7.162
Sr La Os
1 1 1
Direct
0.000 0.000 0.000
0.242 0.242 0.000
0.636 0.636 0.000
```

=====

24.
## SrLaOs2 (meta-GGA SCAN)

Data for a PBEsol-optimized structure of SrLaOs2.

distance to the lowest polymorph of the same formula = 0.230 eV/atom
ΔE_f = 0.933 eV per atom
raw total energy = -51.352 eV per atom
calculated volume = 21.3 Å³/atom

Structure (POSCAR):
```
SrLaOs2
1.0
1.639 0.946 9.161
-1.639 0.946 9.161
0.000 -1.893 9.161
Sr La Os
1 1 2
Direct
0.000 0.000 0.000
0.500 0.500 0.500
0.246 0.246 0.246
0.754 0.754 0.754
```

=====

25.
## Sr2LaOs (meta-GGA SCAN)

Data for a PBEsol-optimized structure of Sr2LaOs.

distance to the lowest polymorph of the same formula = 0.681 eV/atom
ΔE_f = 0.842 eV per atom
raw total energy = -39.042 eV per atom
calculated volume = 27.0 Å³/atom

Structure (POSCAR):
```
Sr2LaOs
1.0
3.042 -5.441 0.000
3.042 5.441 0.000
-0.850 0.000 3.266
Sr La Os
2 1 1
Direct
0.000 0.500 0.000
0.500 0.000 0.000
0.000 0.000 0.500
0.500 0.500 0.500
```

=====

26.
## SrLaOs2 (meta-GGA SCAN)

Data for a PBEsol-optimized structure of SrLaOs2.

distance to the lowest polymorph of the same formula = 0.133 eV/atom
ΔE_f = 0.836 eV per atom
raw total energy = -51.449 eV per atom
calculated volume = 20.0 Å³/atom

Structure (POSCAR):
```
SrLaOs2
1.0
1.668 -2.525 0.000
1.668 2.525 0.000
0.000 0.000 9.506
Sr La Os
1 1 2
Direct
0.000 0.000 0.000
0.000 0.000 0.500
0.500 0.500 0.260
0.500 0.500 0.740
```

=====

27.
## La2TaOs (meta-GGA SCAN)

Data for a PBEsol-optimized structure of La2TaOs.

distance to the lowest polymorph of the same formula = 0.448 eV/atom
ΔE_f = 0.620 eV per atom
raw total energy = -55.549 eV per atom
calculated volume = 22.6 Å³/atom

Structure (POSCAR):
```
La2TaOs
1.0
0.000 3.560 3.560
3.560 0.000 3.560
3.560 3.560 0.000
La Ta Os
2 1 1
Direct
0.250 0.250 0.250
0.750 0.750 0.750
0.000 0.000 0.000
0.500 0.500 0.500
```

=====

28.
## La2TaOs (meta-GGA SCAN)

Data for a PBEsol-optimized structure of La2TaOs.

distance to the lowest polymorph of the same formula = 0.000 eV/atom
ΔE_f = 0.171 eV per atom
raw total energy = -55.997 eV per atom
calculated volume = 22.2 Å³/atom

Structure (POSCAR):
```
La2TaOs
1.0
3.191 0.000 0.000
0.000 4.209 0.000
-1.099 0.000 6.619
La Ta Os
2 1 1
Direct
0.000 0.000 0.000
0.359 0.500 0.708
0.849 0.000 0.423
0.480 0.500 0.276
```

=====

29.
## LaTc2Os (meta-GGA SCAN)

Data for a PBEsol-optimized structure of LaTc2Os.

distance to the lowest polymorph of the same formula = 0.141 eV/atom
ΔE_f = 0.687 eV per atom
raw total energy = -45.589 eV per atom
calculated volume = 16.9 Å³/atom

Structure (POSCAR):
```
LaTc2Os
1.0
4.699 0.000 0.000
0.000 4.699 0.000
0.000 0.000 3.055
La Tc Os
1 2 1
Direct
0.000 0.000 0.000
0.000 0.500 0.500
0.500 0.000 0.500
0.500 0.500 0.000
```

=====

30.
## LaTc2Os2 (meta-GGA SCAN)

Data for a PBEsol-optimized structure of LaTc2Os2.

ΔE_f = -0.106 eV per atom
raw total energy = -51.503 eV per atom
calculated volume = 18.8 Å³/atom

Structure (POSCAR):
```
LaTc2Os2
1.0
-2.161 2.161 5.043
2.161 -2.161 5.043
2.161 2.161 -5.043
La Tc Os
1 2 2
Direct
0.000 0.000 0.000
0.250 0.750 0.500
0.750 0.250 0.500
0.374 0.374 0.000
0.626 0.626 0.000
```

=====

31.
## LaTc2Os (meta-GGA SCAN)

Data for a PBEsol-optimized structure of LaTc2Os.

distance to the lowest polymorph of the same formula = 0.000 eV/atom
ΔE_f = 0.547 eV per atom
raw total energy = -45.730 eV per atom
calculated volume = 16.8 Å³/atom

Structure (POSCAR):
```
LaTc2Os
1.0
1.413 0.816 9.721
-1.413 0.816 9.721
0.000 -1.632 9.721
La Tc Os
1 2 1
Direct
0.000 0.000 0.000
0.500 0.500 0.500
0.762 0.762 0.762
0.238 0.238 0.238
```

=====

Number 1: size of the total moment 0.0 Bohr magnetons per cell. Number 2: size of the total moment 0.0 Bohr magnetons per cell. Number 3: size of the total moment 0.0 Bohr magnetons per cell. Number 4: size of the total moment 0.0 Bohr magnetons per cell. Number 5: size of the total moment 0.7 Bohr magnetons per cell. Number 6: size of the total moment 0.0 Bohr magnetons per cell. Number 7: size of the total moment 0.0 Bohr magnetons per cell. Number 8: size of the total moment 0.0 Bohr magnetons per cell. Number 9: size of the total moment 0.0 Bohr magnetons per cell. Number 10: size of the total moment 0.0 Bohr magnetons per cell. Number 11: size of the total moment 0.0 Bohr magnetons per cell. Number 12: size of the total moment 1.5 Bohr magnetons per cell. Number 13: size of the total moment 0.0 Bohr magnetons per cell. Number 14: size of the total moment 0.0 Bohr magnetons per cell. Number 15: size of the total moment 0.0 Bohr magnetons per cell. Number 16: size of the total moment 0.0 Bohr magnetons per cell. Number 17: size of the total moment 2.1 Bohr magnetons per cell. Number 18: size of the total moment 0.0 Bohr magnetons per cell. Number 19: size of the total moment 0.0 Bohr magnetons per cell. Number 20: size of the total moment 0.0 Bohr magnetons per cell. Number 21: size of the total moment 0.0 Bohr magnetons per cell. Number 22: size of the total moment 0.0 Bohr magnetons per cell. Number 23: size of the total moment 0.0 Bohr magnetons per cell. Number 24: size of the total moment 0.0 Bohr magnetons per cell. Number 25: size of the total moment 0.0 Bohr magnetons per cell. Number 26: size of the total moment 0.0 Bohr magnetons per cell. Number 27: size of the total moment 2.6 Bohr magnetons per cell. Number 28: size of the total moment 0.0 Bohr magnetons per cell. Number 29: size of the total moment 0.0 Bohr magnetons per cell. Number 30: size of the total moment 0.0 Bohr magnetons per cell. Number 31: size of the total moment 0.0 Bohr magnetons per cell.